Below is crystalline GaIrN2 at its relaxed geometry, with properties calculated at the PBE level.

## Properties
- space-group type = R-3m (166)
- VASP energy (eV per atom) = -6.6091

Cell: 6.2240 6.2240 6.2240 Å, 29.03 29.03 29.03°
With the nearest neighbours (Å) after each atom.
Sites, in units of the cell vectors:
Ga 0.0000 0.0000 0.0000  2 N 1.95
Ir 0.5000 0.5000 0.5000  6 N 2.07
N 0.1093 0.1093 0.1093  1 Ga 1.95, 3 Ir 2.07
N 0.8907 0.8907 0.8907  1 Ga 1.95, 3 Ir 2.07